Density functional theory data (PBE) for Cr2Ru2Pb after structural relaxation.

```
Cr2Ru2Pb
1.0
-2.195 4.671 5.309
-6.966 -2.386 -0.781
0.465 -1.995 1.948
Pb Cr Ru
2 4 4
Cartesian
0.000 0.000 0.000
-4.580 1.143 2.264
-1.576 0.286 2.720
-4.616 -1.850 1.258
-7.120 0.004 3.755
-4.080 2.140 5.217
-2.842 -0.244 0.428
-6.319 2.530 4.099
-6.832 -0.357 1.265
-2.329 2.643 3.263
```

Calculated values
SG: P4/mbm, No. 127
Size of the total moment (Bohr magnetons per cell): 0.00
Formation enthalpy at 0 K (eV/atom): 0.4298
E_tot (eV per cell): -78.72
Density of states at the Fermi level (states/eV/cell): 7.904